[1]
# TbIn2F8 GGA-PBE relaxed
data_TbIn2F8
_chemical_formula_sum 'Tb2 In4 F16'
_cell_length_a 10.035
_cell_length_b 7.622
_cell_length_c 4.498
_cell_angle_alpha 90.00
_cell_angle_beta 101.84
_cell_angle_gamma 90.00
_symmetry_space_group_name_H-M 'C 1 2/m 1'
_symmetry_Int_Tables_number 12
_symmetry_space_group_name_Hall '-C 2y'
loop_
_atom_site_label
_atom_site_fract_x
_atom_site_fract_y
_atom_site_fract_z
_atom_site_occupancy
Tb1 0.000 0.000 0.000 1
In1 0.142 0.500 0.295 1
F1 0.096 0.500 0.766 1
F2 0.130 0.220 0.221 1
F3 0.143 0.000 0.689 1
# - crystal system = monoclinic
# - energy relative to the elements, uncorrected (eV per atom) = -2.91

---

[2]
# LiCd2Si GGA-PBE relaxed
data_LiCd2Si
_chemical_formula_sum 'Li4 Cd8 Si4'
_cell_length_a 4.273
_cell_length_b 4.273
_cell_length_c 18.385
_cell_angle_alpha 90.00
_cell_angle_beta 90.00
_cell_angle_gamma 90.00
_symmetry_space_group_name_H-M 'I -4 2 d'
_symmetry_Int_Tables_number 122
_symmetry_space_group_name_Hall 'I -4 2bw'
loop_
_atom_site_label
_atom_site_fract_x
_atom_site_fract_y
_atom_site_fract_z
_atom_site_occupancy
Li1 0.000 0.000 0.000 1
Cd1 0.249 0.250 0.625 1
Si1 0.000 0.000 0.500 1
# - crystal system = tetragonal
# - energy relative to the elements, uncorrected (eV per atom) = 0.20

---

[3]
# Ti2FeReH GGA-PBE relaxed
data_Ti2FeReH
_chemical_formula_sum 'Ti2 Fe1 Re1 H1'
_cell_length_a 4.285
_cell_length_b 4.285
_cell_length_c 3.209
_cell_angle_alpha 90.00
_cell_angle_beta 90.00
_cell_angle_gamma 90.00
_symmetry_space_group_name_H-M 'P 4/m m m'
_symmetry_Int_Tables_number 123
_symmetry_space_group_name_Hall '-P 4 2'
loop_
_atom_site_label
_atom_site_fract_x
_atom_site_fract_y
_atom_site_fract_z
_atom_site_occupancy
Ti1 0.000 0.500 0.000 1
Fe1 0.000 0.000 0.500 1
Re1 0.500 0.500 0.500 1
H1 0.000 0.000 0.000 1
# - crystal system = tetragonal
# - VASP energy (eV per atom) = -8.36